# ScPaTaTc PBE optimized geometry
data_ScPaTaTc
_cell_length_a 4.7907
_cell_length_b 4.7907
_cell_length_c 4.7907
_cell_angle_alpha 60.00
_cell_angle_beta 60.00
_cell_angle_gamma 60.00
_space_group_name_H-M_alt 'P 1'
_space_group_IT_number 1
loop_
_space_group_symop_operation_xyz
'x,y,z'
loop_
_atom_site_label
_atom_site_type_symbol
_atom_site_fract_x
_atom_site_fract_y
_atom_site_fract_z
_atom_site_occupancy
Sc1 Sc 0.2500 0.2500 0.2500 1
Pa1 Pa 0.7500 0.7500 0.7500 1
Ta1 Ta 0.5000 0.5000 0.5000 1
Tc1 Tc 0.0000 0.0000 0.0000 1
# - N(E_F) (states/eV per cell) = 4.3
# - space group = F-43m, No. 216
# - calculated volume (Å³/cell) = 77.7
# - VASP energy (eV for the cell shown) = -38.144